Entry from Alexandria: a geometry-optimized K2Bi2Pb structure (GGA-PBE).

POSCAR file:
```
K2Bi2Pb
1.0
10.400 0.000 0.000
0.000 10.400 0.000
0.000 0.000 3.397
K Bi Pb
4 4 2
direct
0.886 0.614 0.000
0.386 0.886 0.000
0.614 0.114 0.000
0.114 0.386 0.000
0.314 0.186 0.500
0.814 0.314 0.500
0.186 0.686 0.500
0.686 0.814 0.500
0.500 0.500 0.000
0.000 0.000 0.000
```

Results
Relative energy among the computed polymorphs: 289 meV/atom
Total energy: -2.75 eV per atom

Entry from Alexandria: a geometry-optimized K3Bi2Pb9 structure (GGA-PBE).

POSCAR file:
```
K3Bi2Pb9
1.0
-4.760 -0.823 2.490
-0.356 -9.715 2.040
1.912 0.457 9.737
Pb K Bi
9 3 2
direct
0.000 0.500 0.500
0.371 0.262 0.995
0.151 0.572 0.126
0.629 0.005 0.738
0.151 0.126 0.572
0.849 0.874 0.428
0.629 0.738 0.005
0.371 0.995 0.262
0.849 0.428 0.874
0.714 0.286 0.286
0.000 0.000 0.000
0.286 0.714 0.714
0.500 0.663 0.337
0.500 0.337 0.663
```

Results
Total energy: -3.28 eV per atom

Entry from Alexandria: a geometry-optimized KBi2Pb4 structure (GGA-PBE).

POSCAR file:
```
KBi2Pb4
1.0
5.176 0.000 0.000
0.000 4.882 0.000
0.000 -2.441 10.105
Bi Pb K
2 4 1
direct
0.500 0.419 0.838
0.500 0.581 0.162
0.500 0.184 0.368
0.000 0.314 0.628
0.000 0.686 0.372
0.500 0.816 0.632
0.000 0.000 0.000
```

Results
Total energy: -3.49 eV per atom

Entry from Alexandria: a geometry-optimized KBiPb3 structure (GGA-PBE).

POSCAR file:
```
KBiPb3
1.0
5.916 0.000 0.000
0.000 5.916 0.000
0.000 0.000 5.916
Pb Bi K
3 1 1
direct
0.500 0.000 0.000
0.000 0.000 0.500
0.000 0.500 0.000
0.500 0.500 0.500
0.000 0.000 0.000
```

Results
Relative energy among the computed polymorphs: 1007 meV/atom
Total energy: -2.30 eV per atom

Entry from Alexandria: a geometry-optimized KBiPb structure (GGA-PBE).

POSCAR file:
```
KBiPb
1.0
-4.851 -2.510 -1.317
0.003 -4.607 -3.215
-1.279 -4.990 2.241
Pb Bi K
1 1 1
direct
0.000 0.000 0.000
0.250 0.250 0.250
0.500 0.500 0.500
```

Results
Total energy: -3.04 eV per atom

Entry from Alexandria: a geometry-optimized K2Bi3Pd4Pb structure (GGA-PBE).

POSCAR file:
```
K2Bi3Pd4Pb
1.0
-3.812 1.280 -2.865
-3.111 -0.952 3.714
0.912 10.379 3.423
Pb Pd Bi K
1 4 3 2
direct
0.500 0.500 0.500
0.500 0.500 0.000
0.500 0.000 0.628
0.000 0.000 0.000
0.000 0.500 0.372
0.500 0.000 0.883
0.000 0.000 0.500
0.000 0.500 0.117
0.000 0.500 0.758
0.500 0.000 0.242
```

Results
Total energy: -4.14 eV per atom